1.
DFT (meta-GGA SCAN) results for a PBEsol-optimized structure of NaLiB2H10N2.

Geometry as POSCAR:
```
NaLiB2H10N2
1.0
5.250 0.000 0.000
0.000 6.993 0.000
0.000 0.000 14.160
H N Li B Na
40 8 4 8 4
Direct
0.417 0.410 0.731
0.144 0.929 0.706
0.239 0.234 0.536
0.144 0.071 0.206
0.644 0.071 0.294
0.491 0.679 0.834
0.527 0.151 0.685
0.644 0.929 0.794
0.917 0.590 0.269
0.417 0.590 0.231
0.206 0.260 0.004
0.832 0.943 0.964
0.832 0.057 0.464
0.858 0.926 0.612
0.649 0.564 0.417
0.858 0.074 0.112
0.527 0.849 0.185
0.332 0.943 0.536
0.027 0.849 0.315
0.739 0.234 0.964
0.649 0.386 0.619
0.991 0.679 0.666
0.917 0.410 0.769
0.739 0.766 0.464
0.332 0.057 0.036
0.649 0.436 0.917
0.358 0.074 0.388
0.149 0.614 0.381
0.239 0.766 0.036
0.706 0.260 0.496
0.491 0.321 0.334
0.358 0.926 0.888
0.206 0.740 0.504
0.149 0.386 0.881
0.149 0.564 0.083
0.027 0.151 0.815
0.706 0.740 0.996
0.149 0.436 0.583
0.991 0.321 0.166
0.649 0.614 0.119
0.263 0.816 0.562
0.713 0.699 0.400
0.763 0.816 0.938
0.213 0.699 0.100
0.713 0.301 0.900
0.763 0.184 0.438
0.213 0.301 0.600
0.263 0.184 0.062
0.929 0.816 0.176
0.929 0.184 0.676
0.429 0.816 0.324
0.429 0.184 0.824
0.458 0.687 0.159
0.058 0.840 0.637
0.958 0.687 0.341
0.558 0.160 0.363
0.958 0.313 0.841
0.458 0.313 0.659
0.558 0.840 0.863
0.058 0.160 0.137
0.568 0.700 0.668
0.568 0.300 0.168
0.068 0.300 0.332
0.068 0.700 0.832
```

Properties
D(E_F) = 0.000 states/eV/f.u.
Density = 1.15 g cm⁻³
Volume = 130 Å³/f.u.

=====

2.
DFT (meta-GGA SCAN) results for a PBEsol-optimized structure of NaLiB2H10N2.

Geometry as POSCAR:
```
NaLiB2H10N2
1.0
5.008 -0.177 -0.036
-1.887 6.807 0.039
-1.831 -2.444 8.120
H Na B Li N
20 2 4 2 4
Direct
0.986 0.164 0.442
0.223 0.269 0.743
0.371 0.562 0.104
0.605 0.075 0.178
0.659 0.143 0.694
0.395 0.925 0.822
0.777 0.731 0.257
0.014 0.836 0.558
0.754 0.667 0.599
0.021 0.918 0.876
0.498 0.814 0.473
0.246 0.333 0.401
0.502 0.186 0.527
0.139 0.671 0.866
0.466 0.530 0.705
0.979 0.082 0.124
0.629 0.438 0.896
0.341 0.857 0.306
0.861 0.329 0.134
0.534 0.470 0.295
0.651 0.768 0.982
0.349 0.232 0.018
0.861 0.188 0.199
0.479 0.375 0.750
0.521 0.625 0.250
0.139 0.812 0.801
0.979 0.557 0.367
0.021 0.443 0.633
0.025 0.280 0.386
0.629 0.260 0.647
0.975 0.720 0.614
0.371 0.740 0.353
```

Properties
D(E_F) = 0.000 states/eV/f.u.
Density = 1.09 g cm⁻³
Volume = 137 Å³/f.u.

=====

Least stable structure: 1

=====

1.
DFT (meta-GGA SCAN) results for a PBEsol-optimized structure of BH2Pb.

Geometry as POSCAR:
```
BH2Pb
1.0
4.953 0.000 0.000
0.000 4.953 0.000
-2.476 -2.476 3.500
Pb B H
2 2 4
Direct
0.000 0.000 0.000
0.250 0.750 0.500
0.500 0.500 0.000
0.750 0.250 0.500
0.625 0.875 0.250
0.625 0.375 0.250
0.625 0.375 0.750
0.125 0.375 0.750
```

Properties
D(E_F) = 1.010 states/eV/f.u.
Density = 8.51 g cm⁻³
Volume = 43 Å³/f.u.

=====

2.
DFT (meta-GGA SCAN) results for a PBEsol-optimized structure of BH2Pb.

Geometry as POSCAR:
```
BH2Pb
1.0
-1.352 -1.658 -3.315
2.317 -2.422 -2.082
-0.772 -3.868 -0.098
H Pb B
2 1 1
Direct
0.750 0.750 0.750
0.250 0.250 0.250
0.500 0.500 0.500
0.000 0.000 0.000
```

Properties
D(E_F) = 0.995 states/eV/f.u.
Density = 8.41 g cm⁻³
Volume = 43 Å³/f.u.

=====

Least stable structure: 2

=====

1.
DFT (meta-GGA SCAN) results for a PBEsol-optimized structure of BHSe2.

Geometry as POSCAR:
```
BHSe2
1.0
-2.213 2.383 -1.797
-3.324 -1.117 -1.229
-4.348 2.070 4.258
Se B H
2 1 1
Direct
0.900 0.900 0.300
0.100 0.100 0.700
0.000 0.000 0.000
0.500 0.500 0.500
```

Properties
D(E_F) = 1.631 states/eV/f.u.
Density = 3.89 g cm⁻³
Volume = 72 Å³/f.u.

=====

2.
DFT (meta-GGA SCAN) results for a PBEsol-optimized structure of BHSe2.

Geometry as POSCAR:
```
BHSe2
1.0
4.080 0.000 0.000
2.040 3.533 0.000
2.040 1.178 3.331
B H Se
1 1 2
Direct
0.500 0.500 0.500
0.000 0.000 0.000
0.250 0.250 0.250
0.750 0.750 0.750
```

Properties
D(E_F) = 1.305 states/eV/f.u.
Density = 5.87 g cm⁻³
Volume = 48 Å³/f.u.

=====

Least stable structure: 2

=====

1.
DFT (meta-GGA SCAN) results for a PBEsol-optimized structure of SrBH2.

Geometry as POSCAR:
```
SrBH2
1.0
-1.415 3.789 0.749
-2.176 -0.122 -3.488
-2.042 -3.753 3.830
H Sr B
4 2 2
Direct
0.625 0.875 0.250
0.625 0.375 0.250
0.625 0.375 0.750
0.125 0.375 0.750
0.000 0.000 0.000
0.250 0.750 0.500
0.500 0.500 0.000
0.750 0.250 0.500
```

Properties
D(E_F) = 1.577 states/eV/f.u.
Density = 3.99 g cm⁻³
Volume = 42 Å³/f.u.

=====

2.
DFT (meta-GGA SCAN) results for a PBEsol-optimized structure of SrBH2.

Geometry as POSCAR:
```
SrBH2
1.0
-2.930 2.180 -1.623
-3.382 0.632 2.033
-0.816 3.638 1.440
Sr H B
1 2 1
Direct
0.500 0.500 0.500
0.750 0.750 0.750
0.250 0.250 0.250
0.000 0.000 0.000
```

Properties
D(E_F) = 0.926 states/eV/f.u.
Density = 3.70 g cm⁻³
Volume = 45 Å³/f.u.

=====

Least stable structure: 2

=====

1.
DFT (meta-GGA SCAN) results for a PBEsol-optimized structure of ZnB2H8.

Geometry as POSCAR:
```
ZnB2H8
1.0
6.619 0.000 0.000
-3.310 6.940 -0.172
0.000 3.300 5.738
H B Zn
16 4 2
Direct
0.513 0.230 0.708
0.906 0.910 0.784
0.746 0.590 0.966
0.784 0.090 0.906
0.688 0.730 0.237
0.444 0.410 0.844
0.717 0.230 0.062
0.966 0.410 0.746
0.844 0.590 0.444
0.708 0.770 0.513
0.032 0.270 0.042
0.062 0.770 0.717
0.237 0.270 0.688
0.042 0.730 0.032
0.306 0.090 0.004
0.004 0.910 0.306
0.375 0.250 0.807
0.807 0.750 0.375
0.943 0.750 0.875
0.875 0.250 0.943
0.750 0.500 0.750
0.000 0.000 0.000
```

Properties
D(E_F) = 0.000 states/eV/f.u.
Density = 1.18 g cm⁻³
Volume = 134 Å³/f.u.

=====

2.
DFT (meta-GGA SCAN) results for a PBEsol-optimized structure of ZnB2H8.

Geometry as POSCAR:
```
ZnB2H8
1.0
-3.983 -1.042 -0.448
0.034 -2.113 4.606
-2.192 6.991 3.223
H B Zn
16 4 2
Direct
0.744 0.518 0.678
0.000 0.778 0.257
0.500 0.695 0.428
0.744 0.482 0.178
0.256 0.518 0.678
0.256 0.482 0.178
0.000 0.405 0.379
0.724 0.017 0.071
0.276 0.983 0.571
0.500 0.305 0.928
0.724 0.983 0.571
0.000 0.222 0.757
0.276 0.017 0.071
0.500 0.072 0.352
0.500 0.928 0.852
0.000 0.595 0.879
0.500 0.928 0.471
0.000 0.537 0.248
0.500 0.072 0.971
0.000 0.463 0.748
0.000 0.713 0.509
0.000 0.287 0.009
```

Properties
D(E_F) = 0.000 states/eV/f.u.
Density = 1.88 g cm⁻³
Volume = 84 Å³/f.u.

=====

Least stable structure: 2

=====

1.
DFT (meta-GGA SCAN) results for a PBEsol-optimized structure of HfNb2B.

Geometry as POSCAR:
```
HfNb2B
1.0
-0.946 3.638 2.996
-4.440 -0.879 3.521
2.740 -0.256 5.031
Nb B Hf
4 2 2
Direct
0.375 0.426 0.074
0.551 0.074 0.574
0.875 0.574 0.926
0.199 0.926 0.426
0.250 0.500 0.500
0.500 0.000 0.000
0.000 0.000 0.000
0.750 0.500 0.500
```

Properties
D(E_F) = 3.715 states/eV/f.u.
Density = 9.56 g cm⁻³
Volume = 65 Å³/f.u.

=====

2.
DFT (meta-GGA SCAN) results for a PBEsol-optimized structure of HfNb2B.

Geometry as POSCAR:
```
HfNb2B
1.0
-0.343 4.417 0.168
-0.756 2.019 3.874
3.201 2.401 1.911
Nb Hf B
2 1 1
Direct
0.750 0.750 0.750
0.250 0.250 0.250
0.500 0.500 0.500
0.000 0.000 0.000
```

Properties
D(E_F) = 4.580 states/eV/f.u.
Density = 10.11 g cm⁻³
Volume = 62 Å³/f.u.

=====

Least stable structure: 2

=====

1.
DFT (meta-GGA SCAN) results for a PBEsol-optimized structure of Hf3ReB.

Geometry as POSCAR:
```
Hf3ReB
1.0
-1.103 -1.733 -3.941
3.817 -2.275 -0.068
-1.991 -3.402 2.053
Hf Re B
3 1 1
Direct
0.000 0.000 0.500
0.000 0.500 0.000
0.500 0.000 0.000
0.500 0.500 0.500
0.000 0.000 0.000
```

Properties
D(E_F) = 3.338 states/eV/f.u.
Density = 13.85 g cm⁻³
Volume = 88 Å³/f.u.

=====

2.
DFT (meta-GGA SCAN) results for a PBEsol-optimized structure of Hf3ReB.

Geometry as POSCAR:
```
Hf3ReB
1.0
-0.964 -3.045 3.743
4.823 -0.496 0.839
-0.142 3.833 3.082
Hf B Re
3 1 1
Direct
0.000 0.500 0.000
0.500 0.000 0.000
0.000 0.000 0.500
0.500 0.500 0.500
0.000 0.000 0.000
```

Properties
D(E_F) = 7.004 states/eV/f.u.
Density = 10.21 g cm⁻³
Volume = 119 Å³/f.u.

=====

Least stable structure: 2

=====

1.
DFT (meta-GGA SCAN) results for a PBEsol-optimized structure of HfTcB3.

Geometry as POSCAR:
```
HfTcB3
1.0
-1.060 -0.774 3.726
0.387 -3.870 -0.693
3.786 0.179 1.114
B Hf Tc
3 1 1
Direct
0.500 0.000 0.000
0.000 0.000 0.500
0.000 0.500 0.000
0.500 0.500 0.500
0.000 0.000 0.000
```

Properties
D(E_F) = 1.552 states/eV/f.u.
Density = 8.32 g cm⁻³
Volume = 62 Å³/f.u.

=====

2.
DFT (meta-GGA SCAN) results for a PBEsol-optimized structure of HfTcB3.

Geometry as POSCAR:
```
HfTcB3
1.0
-0.638 0.169 -4.084
-0.039 -4.134 -0.165
-4.088 0.013 0.639
Hf Tc B
1 1 3
Direct
0.000 0.000 0.000
0.500 0.500 0.500
0.000 0.500 0.000
0.000 0.000 0.500
0.500 0.000 0.000
```

Properties
D(E_F) = 1.705 states/eV/f.u.
Density = 7.24 g cm⁻³
Volume = 71 Å³/f.u.

=====

Least stable structure: 2

=====

1.
DFT (meta-GGA SCAN) results for a PBEsol-optimized structure of BPIN2.

Geometry as POSCAR:
```
BPIN2
1.0
-2.725 0.175 -1.892
1.773 -0.954 -2.642
-1.434 -6.678 1.450
B N I P
1 2 1 1
Direct
0.500 0.500 0.500
0.500 0.000 0.000
0.000 0.500 0.000
0.000 0.000 0.500
0.000 0.000 0.000
```

Properties
D(E_F) = 1.907 states/eV/f.u.
Density = 4.24 g cm⁻³
Volume = 77 Å³/f.u.

=====

2.
DFT (meta-GGA SCAN) results for a PBEsol-optimized structure of BPIN2.

Geometry as POSCAR:
```
BPIN2
1.0
3.413 0.000 0.000
0.000 3.413 0.000
0.000 0.000 6.535
N B I P
2 1 1 1
Direct
0.000 0.500 0.000
0.500 0.000 0.000
0.000 0.000 0.000
0.000 0.000 0.500
0.500 0.500 0.500
```

Properties
D(E_F) = 2.645 states/eV/f.u.
Density = 4.29 g cm⁻³
Volume = 76 Å³/f.u.

=====

Least stable structure: 2

=====

1.
DFT (meta-GGA SCAN) results for a PBEsol-optimized structure of NiB2I.

Geometry as POSCAR:
```
NiB2I
1.0
3.837 0.000 0.000
0.000 3.837 0.000
-1.919 -1.919 7.126
I Ni B
2 2 4
Direct
0.250 0.750 0.500
0.000 0.000 0.000
0.500 0.500 0.000
0.750 0.250 0.500
0.625 0.875 0.250
0.625 0.375 0.250
0.125 0.375 0.750
0.625 0.375 0.750
```

Properties
D(E_F) = 1.355 states/eV/f.u.
Density = 6.56 g cm⁻³
Volume = 52 Å³/f.u.

=====

2.
DFT (meta-GGA SCAN) results for a PBEsol-optimized structure of NiB2I.

Geometry as POSCAR:
```
NiB2I
1.0
-2.631 2.189 -2.291
-1.002 -1.288 -3.781
-3.781 -1.451 -0.746
Ni B I
1 2 1
Direct
0.000 0.000 0.000
0.250 0.250 0.250
0.750 0.750 0.750
0.500 0.500 0.500
```

Properties
D(E_F) = 2.611 states/eV/f.u.
Density = 6.97 g cm⁻³
Volume = 49 Å³/f.u.

=====

Least stable structure: 2

=====

1.
DFT (meta-GGA SCAN) results for a PBEsol-optimized structure of BSeI3.

Geometry as POSCAR:
```
BSeI3
1.0
-3.226 -3.469 -1.561
0.329 -2.293 4.417
-3.790 2.754 1.712
I B Se
3 1 1
Direct
0.500 0.000 0.000
0.000 0.000 0.500
0.000 0.500 0.000
0.000 0.000 0.000
0.500 0.500 0.500
```

Properties
D(E_F) = 5.368 states/eV/f.u.
Density = 6.30 g cm⁻³
Volume = 124 Å³/f.u.

=====

2.
DFT (meta-GGA SCAN) results for a PBEsol-optimized structure of BSeI3.

Geometry as POSCAR:
```
BSeI3
1.0
-3.430 -4.260 -1.252
4.434 -3.207 -1.238
0.225 -1.746 5.327
I Se B
3 1 1
Direct
0.000 0.000 0.500
0.500 0.000 0.000
0.000 0.500 0.000
0.000 0.000 0.000
0.500 0.500 0.500
```

Properties
D(E_F) = 3.709 states/eV/f.u.
Density = 4.42 g cm⁻³
Volume = 177 Å³/f.u.

=====

Least stable structure: 2